The following is a PBE-GGA calculation of a relaxed structure of Pr2MgAg2, from Alexandria.

The total energy is -3.61 eV/atom. Its energy of formation is -0.2393 eV per atom. Its space group is P4/mbm, No. 127. As for the calculated density: 6.4 Mg/m³. The value obtained for the offset from the most stable computed form is 0 kJ/mol of formula units.

Cell lengths 4.091, 8.138, 8.138 Å; angles 90.00, 90.00, 90.00 degrees
Fractional coordinates of all 10 atoms:
Ag: 0.000 0.372 0.872
Ag: 0.000 0.128 0.372
Ag: 0.000 0.628 0.128
Pr: 0.500 0.329 0.171
Ag: 0.000 0.872 0.628
Pr: 0.500 0.171 0.671
Pr: 0.500 0.829 0.329
Mg: 0.000 0.000 0.000
Mg: 0.000 0.500 0.500
Pr: 0.500 0.671 0.829

The following is a PBE-GGA calculation of a relaxed structure of Li3ZrBe, from Alexandria.

The total energy is -1.95 eV/atom. Its energy of formation is 1.6505 eV per atom. Its space group is Pm-3m, No. 221. As for the calculated density: 1.5 Mg/m³. The value obtained for the offset from the most stable computed form is 500 kJ/mol of formula units.

Cell lengths 5.166, 5.166, 5.166 Å; angles 90.00, 90.00, 90.00 degrees
Each line ends with the local moment (μB).
Fractional coordinates of all 5 atoms:
Be: 0.500 0.500 0.500  -0.01
Zr: 0.000 0.000 0.000  1.74
Li: 0.000 0.000 0.500  0.04
Li: 0.000 0.500 0.000  0.04
Li: 0.500 0.000 0.000  0.06

The following is a PBE-GGA calculation of a relaxed structure of SrTlTe2, from Alexandria.

The total energy is -3.49 eV/atom. The energy relative to the elements, uncorrected is -0.910 eV per atom. Its space group is Amm2, No. 38. As for the calculated density: 6.2 Mg/m³.

Cell lengths 6.715, 4.657, 4.657 Å; angles 90.00, 90.00, 90.00 degrees
Fractional coordinates of all 4 atoms:
Te: 0.500 0.375 0.375
Te: 0.000 0.875 0.875
Tl: 0.000 0.376 0.374
Sr: 0.500 0.875 0.875